First-principles (PBE-GGA) data for a geometry-optimized AlRe2P structure, as listed in the Alexandria database.

Geometry as CIF:
```
data_AlRe2P
_cell_length_a 8.640
_cell_length_b 2.980
_cell_length_c 4.679
_cell_angle_alpha 90.00
_cell_angle_beta 107.34
_cell_angle_gamma 90.00
_symmetry_space_group_name_H-M 'C 1 2/m 1'
_symmetry_Int_Tables_number 12
_symmetry_space_group_name_Hall '-C 2y'
loop_
_atom_site_label
_atom_site_fract_x
_atom_site_fract_y
_atom_site_fract_z
Al1 0.000 0.000 0.000
Re1 0.218 0.000 0.722
P1 0.000 0.500 0.500
```

## Properties
Calculated total energy ... -8.53 eV/atom
Offset from the most stable computed form ... 173 meV per atom

First-principles (PBE-GGA) data for a geometry-optimized AlRe2P structure, as listed in the Alexandria database.

Geometry as CIF:
```
data_AlRe2P
_cell_length_a 2.910
_cell_length_b 4.319
_cell_length_c 4.821
_cell_angle_alpha 90.00
_cell_angle_beta 107.38
_cell_angle_gamma 90.00
_symmetry_space_group_name_H-M 'P 1 m 1'
_symmetry_Int_Tables_number 6
_symmetry_space_group_name_Hall 'P -2y'
loop_
_atom_site_label
_atom_site_fract_x
_atom_site_fract_y
_atom_site_fract_z
Al1 0.000 0.000 0.000
Re1 0.342 0.500 0.692
Re2 0.732 0.000 0.469
P1 0.613 0.500 0.232
```

## Properties
Calculated total energy ... -8.58 eV/atom
Offset from the most stable computed form ... 124 meV per atom

First-principles (PBE-GGA) data for a geometry-optimized AlRe2P structure, as listed in the Alexandria database.

Geometry as CIF:
```
data_AlRe2P
_cell_length_a 2.956
_cell_length_b 2.956
_cell_length_c 6.304
_cell_angle_alpha 90.00
_cell_angle_beta 90.00
_cell_angle_gamma 90.00
_symmetry_space_group_name_H-M 'P 4/m m m'
_symmetry_Int_Tables_number 123
_symmetry_space_group_name_Hall '-P 4 2'
loop_
_atom_site_label
_atom_site_fract_x
_atom_site_fract_y
_atom_site_fract_z
Al1 0.000 0.000 0.000
Re1 0.500 0.500 0.277
P1 0.000 0.000 0.500
```

## Properties
Calculated total energy ... -8.61 eV/atom
Offset from the most stable computed form ... 89 meV per atom

First-principles (PBE-GGA) data for a geometry-optimized AlRe2P2 structure, as listed in the Alexandria database.

Geometry as CIF:
```
data_AlRe2P2
_cell_length_a 6.983
_cell_length_b 6.983
_cell_length_c 2.902
_cell_angle_alpha 90.00
_cell_angle_beta 90.00
_cell_angle_gamma 90.00
_symmetry_space_group_name_H-M 'P 4/m b m'
_symmetry_Int_Tables_number 127
_symmetry_space_group_name_Hall '-P 4 2ab'
loop_
_atom_site_label
_atom_site_fract_x
_atom_site_fract_y
_atom_site_fract_z
Al1 0.000 0.000 0.000
Re1 0.154 0.346 0.500
P1 0.140 0.640 0.000
```

## Properties
Calculated total energy ... -7.74 eV/atom

First-principles (PBE-GGA) data for a geometry-optimized AlRe2P structure, as listed in the Alexandria database.

Geometry as CIF:
```
data_AlRe2P
_cell_length_a 2.975
_cell_length_b 4.911
_cell_length_c 7.989
_cell_angle_alpha 90.00
_cell_angle_beta 90.00
_cell_angle_gamma 90.00
_symmetry_space_group_name_H-M 'C m m m'
_symmetry_Int_Tables_number 65
_symmetry_space_group_name_Hall '-C 2 2'
loop_
_atom_site_label
_atom_site_fract_x
_atom_site_fract_y
_atom_site_fract_z
Al1 0.000 0.000 0.000
Re1 0.000 0.500 0.272
P1 0.000 0.000 0.500
```

## Properties
Calculated total energy ... -8.36 eV/atom
Offset from the most stable computed form ... 342 meV per atom

First-principles (PBE-GGA) data for a geometry-optimized AlReP2 structure, as listed in the Alexandria database.

Geometry as CIF:
```
data_AlReP2
_cell_length_a 3.256
_cell_length_b 4.114
_cell_length_c 4.541
_cell_angle_alpha 90.00
_cell_angle_beta 90.13
_cell_angle_gamma 90.00
_symmetry_space_group_name_H-M 'P 1 2/m 1'
_symmetry_Int_Tables_number 10
_symmetry_space_group_name_Hall '-P 2y'
loop_
_atom_site_label
_atom_site_fract_x
_atom_site_fract_y
_atom_site_fract_z
Al1 0.000 0.000 0.000
Re1 0.500 0.000 0.500
P1 0.499 0.500 0.770
```

## Properties
Calculated total energy ... -6.80 eV/atom

First-principles (PBE-GGA) data for a geometry-optimized AlRe2P structure, as listed in the Alexandria database.

Geometry as CIF:
```
data_AlRe2P
_cell_length_a 2.941
_cell_length_b 4.779
_cell_length_c 8.248
_cell_angle_alpha 90.00
_cell_angle_beta 90.00
_cell_angle_gamma 90.00
_symmetry_space_group_name_H-M 'I m m m'
_symmetry_Int_Tables_number 71
_symmetry_space_group_name_Hall '-I 2 2'
loop_
_atom_site_label
_atom_site_fract_x
_atom_site_fract_y
_atom_site_fract_z
Al1 0.000 0.000 0.000
Re1 0.000 0.500 0.220
P1 0.000 0.000 0.500
```

## Properties
Calculated total energy ... -8.48 eV/atom
Offset from the most stable computed form ... 220 meV per atom

First-principles (PBE-GGA) data for a geometry-optimized AlRe2P structure, as listed in the Alexandria database.

Geometry as CIF:
```
data_AlRe2P
_cell_length_a 3.103
_cell_length_b 3.103
_cell_length_c 5.732
_cell_angle_alpha 90.00
_cell_angle_beta 90.00
_cell_angle_gamma 90.00
_symmetry_space_group_name_H-M 'P 4 m m'
_symmetry_Int_Tables_number 99
_symmetry_space_group_name_Hall 'P 4 -2'
loop_
_atom_site_label
_atom_site_fract_x
_atom_site_fract_y
_atom_site_fract_z
Al1 0.000 0.000 0.000
Re1 0.000 0.000 0.460
Re2 0.500 0.500 0.776
P1 0.500 0.500 0.250
```

## Properties
Calculated total energy ... -8.70 eV/atom
Offset from the most stable computed form ... 0 meV per atom

First-principles (PBE-GGA) data for a geometry-optimized Al2ReP structure, as listed in the Alexandria database.

Geometry as CIF:
```
data_Al2ReP
_cell_length_a 4.320
_cell_length_b 3.127
_cell_length_c 4.566
_cell_angle_alpha 90.00
_cell_angle_beta 108.86
_cell_angle_gamma 90.00
_symmetry_space_group_name_H-M 'P 1 2/m 1'
_symmetry_Int_Tables_number 10
_symmetry_space_group_name_Hall '-P 2y'
loop_
_atom_site_label
_atom_site_fract_x
_atom_site_fract_y
_atom_site_fract_z
Al1 0.000 0.000 0.000
Al2 0.000 0.500 0.500
Re1 0.500 0.000 0.500
P1 0.500 0.500 0.000
```

## Properties
Calculated total energy ... -6.25 eV/atom

First-principles (PBE-GGA) data for a geometry-optimized AlReP2 structure, as listed in the Alexandria database.

Geometry as CIF:
```
data_AlReP2
_cell_length_a 3.757
_cell_length_b 3.757
_cell_length_c 7.827
_cell_angle_alpha 90.00
_cell_angle_beta 90.00
_cell_angle_gamma 90.00
_symmetry_space_group_name_H-M 'I -4 m 2'
_symmetry_Int_Tables_number 119
_symmetry_space_group_name_Hall 'I -4 -2'
loop_
_atom_site_label
_atom_site_fract_x
_atom_site_fract_y
_atom_site_fract_z
Al1 0.000 0.000 0.000
Re1 0.000 0.500 0.250
P1 0.000 0.000 0.500
P2 0.000 0.500 0.750
```

## Properties
Calculated total energy ... -6.39 eV/atom

First-principles (PBE-GGA) data for a geometry-optimized Al2ReP structure, as listed in the Alexandria database.

Geometry as CIF:
```
data_Al2ReP
_cell_length_a 3.027
_cell_length_b 4.950
_cell_length_c 8.274
_cell_angle_alpha 90.00
_cell_angle_beta 90.00
_cell_angle_gamma 90.00
_symmetry_space_group_name_H-M 'C m m 2'
_symmetry_Int_Tables_number 35
_symmetry_space_group_name_Hall 'C 2 -2'
loop_
_atom_site_label
_atom_site_fract_x
_atom_site_fract_y
_atom_site_fract_z
Al1 0.000 0.000 0.000
Al2 0.000 0.500 0.274
Re1 0.000 0.500 0.742
P1 0.000 0.000 0.524
```

## Properties
Calculated total energy ... -6.16 eV/atom

First-principles (PBE-GGA) data for a geometry-optimized Al2ReP structure, as listed in the Alexandria database.

Geometry as CIF:
```
data_Al2ReP
_cell_length_a 8.660
_cell_length_b 3.054
_cell_length_c 4.503
_cell_angle_alpha 90.00
_cell_angle_beta 97.67
_cell_angle_gamma 90.00
_symmetry_space_group_name_H-M 'C 1 m 1'
_symmetry_Int_Tables_number 8
_symmetry_space_group_name_Hall 'C -2y'
loop_
_atom_site_label
_atom_site_fract_x
_atom_site_fract_y
_atom_site_fract_z
Al1 0.000 0.000 0.000
Al2 0.248 0.000 0.740
Re1 0.245 0.500 0.240
P1 0.463 0.000 0.447
```

## Properties
Calculated total energy ... -6.46 eV/atom

First-principles (PBE-GGA) data for a geometry-optimized AlReP2 structure, as listed in the Alexandria database.

Geometry as CIF:
```
data_AlReP2
_cell_length_a 3.102
_cell_length_b 4.471
_cell_length_c 7.976
_cell_angle_alpha 90.00
_cell_angle_beta 90.00
_cell_angle_gamma 90.00
_symmetry_space_group_name_H-M 'I m m 2'
_symmetry_Int_Tables_number 44
_symmetry_space_group_name_Hall 'I 2 -2'
loop_
_atom_site_label
_atom_site_fract_x
_atom_site_fract_y
_atom_site_fract_z
Al1 0.000 0.000 0.000
Re1 0.000 0.500 0.212
P1 0.000 0.000 0.473
P2 0.000 0.500 0.742
```

## Properties
Calculated total energy ... -6.60 eV/atom

First-principles (PBE-GGA) data for a geometry-optimized Al2ReP structure, as listed in the Alexandria database.

Geometry as CIF:
```
data_Al2ReP
_cell_length_a 3.427
_cell_length_b 4.443
_cell_length_c 7.798
_cell_angle_alpha 90.00
_cell_angle_beta 90.00
_cell_angle_gamma 90.00
_symmetry_space_group_name_H-M 'C m m m'
_symmetry_Int_Tables_number 65
_symmetry_space_group_name_Hall '-C 2 2'
loop_
_atom_site_label
_atom_site_fract_x
_atom_site_fract_y
_atom_site_fract_z
Al1 0.000 0.000 0.249
Re1 0.000 0.500 0.500
P1 0.000 0.500 0.000
```

## Properties
Calculated total energy ... -6.20 eV/atom

First-principles (PBE-GGA) data for a geometry-optimized Al2ReP structure, as listed in the Alexandria database.

Geometry as CIF:
```
data_Al2ReP
_cell_length_a 3.982
_cell_length_b 3.214
_cell_length_c 9.433
_cell_angle_alpha 90.00
_cell_angle_beta 90.00
_cell_angle_gamma 90.00
_symmetry_space_group_name_H-M 'A m m 2'
_symmetry_Int_Tables_number 38
_symmetry_space_group_name_Hall 'A 2 -2'
loop_
_atom_site_label
_atom_site_fract_x
_atom_site_fract_y
_atom_site_fract_z
Al1 0.000 0.000 0.000
Al2 0.500 0.000 0.325
Re1 0.000 0.000 0.723
P1 0.500 0.000 0.586
```

## Properties
Calculated total energy ... -6.58 eV/atom